DFT (GGA-PBE) results for a geometry-optimized Ta2TlCdTe structure.

Unit cell a=5.2631 b=5.2631 c=5.6581 alpha=90.00 beta=90.00 gamma=90.00
Last column: nearest neighbours and their distance in Å.
Space group P4/mmm (No. 123)
Unique sites:
Ta 0.0000 0.5000 0.0000 [2 per cell]  2 Tl 2.63
Tl 0.0000 0.0000 0.0000 [1 per cell]  4 Ta 2.63, 2 Te 2.83
Cd 0.5000 0.5000 0.5000 [1 per cell]  4 Te 3.72, 8 Ta 3.86
Te 0.0000 0.0000 0.5000 [1 per cell]  2 Tl 2.83

**Total moment**: 3.0 μB per cell
**E_form (uncorrected)**: 10.20 eV per formula unit
**D(E_F)**: 0.99 states/eV/atom

DFT (GGA-PBE) results for a geometry-optimized TaZn2CdTe structure.

Unit cell a=5.0905 b=5.0905 c=5.2469 alpha=90.00 beta=90.00 gamma=90.00
Last column: nearest neighbours and their distance in Å.
Space group P4/mmm (No. 123)
Unique sites:
Ta 0.0000 0.0000 0.0000 [1 per cell]  2 Te 2.62
Zn 0.0000 0.5000 0.5000 [2 per cell]  2 Te 2.55
Cd 0.5000 0.5000 0.0000 [1 per cell]  4 Ta 3.60, 8 Zn 3.66
Te 0.0000 0.0000 0.5000 [1 per cell]  4 Zn 2.55, 2 Ta 2.62

**Total moment**: 0.0 μB per cell
**E_form (uncorrected)**: 5.74 eV per formula unit
**D(E_F)**: 0.69 states/eV/atom

DFT (GGA-PBE) results for a geometry-optimized Th2TaCd structure.

Unit cell a=3.2467 b=3.2467 c=35.3455 alpha=90.00 beta=90.00 gamma=120.00
Last column: nearest neighbours and their distance in Å.
Space group R-3m (No. 166, hexagonal axes)
Unique sites:
Th 0.0000 0.0000 0.0838 [6 per cell]  1 Ta 2.96, 6 Th 3.25
Ta 0.0000 0.0000 0.0000 [3 per cell]  2 Th 2.96, 6 Ta 3.25
Cd 0.0000 0.0000 0.5000 [3 per cell]  6 Cd 3.25, 6 Th 3.48

**Calculated formation energy**: 537 meV per atom
**Total moment**: 0.0 μB per cell
**D(E_F)**: 1.26 states/eV/atom

DFT (GGA-PBE) results for a geometry-optimized TaTiCd3 structure.

Unit cell a=5.2419 b=5.2419 c=5.2419 alpha=90.00 beta=90.00 gamma=90.00
Last column: nearest neighbours and their distance in Å.
Space group Pm-3m (No. 221)
Unique sites:
Ta 0.0000 0.0000 0.0000 [1 per cell]  6 Cd 2.62
Ti 0.5000 0.5000 0.5000 [1 per cell]  12 Cd 3.71
Cd 0.0000 0.0000 0.5000 [3 per cell]  2 Ta 2.62

**Calculated formation energy**: 1490 meV per atom
**Total moment**: 0.0 μB per cell
**D(E_F)**: 2.06 states/eV/atom
**Distance to the lowest polymorph of the same formula**: 0.000 eV per atom

DFT (GGA-PBE) results for a geometry-optimized TaTi2Cd structure.

Unit cell a=5.4258 b=2.8793 c=9.8135 alpha=90.00 beta=102.19 gamma=90.00
Last column: nearest neighbours and their distance in Å.
Space group Cm (No. 8)
Unique sites:
Ta 0.0000 0.0000 0.0000 [2 per cell]  6 Ti 2.80-2.90, 6 Ta 2.88-3.07
Ti 0.1059 0.5000 0.7628 [2 per cell]  3 Ta 2.81-2.90, 6 Ti 2.88-3.07, 3 Cd 3.02-3.10
Ti 0.3952 0.0000 0.2356 [2 per cell]  3 Ta 2.80-2.88, 6 Ti 2.88-3.07, 3 Cd 3.05-3.08
Cd 0.3109 0.5000 0.4991 [2 per cell]  6 Cd 2.88-3.07, 6 Ti 3.02-3.10

**Calculated formation energy**: 98 meV per atom
**Total moment**: 0.0 μB per cell
**D(E_F)**: 1.08 states/eV/atom

DFT (GGA-PBE) results for a geometry-optimized Ta2Ti2Cd3 structure.

Unit cell a=2.9141 b=33.8474 c=2.8989 alpha=90.00 beta=108.97 gamma=90.00
Last column: nearest neighbours and their distance in Å.
Space group C2/m (No. 12)
Unique sites:
Ta 0.0000 0.2131 0.0000 [4 per cell]  2 Ti 2.75, 6 Ta 2.89-2.91
Ti 0.0000 0.3510 0.5000 [4 per cell]  2 Ta 2.75, 4 Ti 2.90-2.91, 2 Cd 2.95
Cd 0.0000 0.0775 0.0000 [4 per cell]  6 Cd 2.90-3.12, 2 Ti 2.95
Cd 0.0000 0.5000 0.5000 [2 per cell]  8 Cd 2.90-3.12

**Calculated formation energy**: 68 meV per atom
**Total moment**: 0.0 μB per cell
**D(E_F)**: 0.82 states/eV/atom

DFT (GGA-PBE) results for a geometry-optimized Ta2Ti2Cd structure.

Unit cell a=7.4161 b=7.4161 c=3.4767 alpha=90.00 beta=90.00 gamma=90.00
Last column: nearest neighbours and their distance in Å.
Space group P4/mbm (No. 127)
Unique sites:
Ta 0.1268 0.3732 0.0000 [4 per cell]  1 Ta 2.66, 6 Ti 2.77-2.81, 2 Cd 2.92
Ti 0.1678 0.6678 0.5000 [4 per cell]  6 Ta 2.77-2.81
Cd 0.0000 0.0000 0.0000 [2 per cell]  4 Ta 2.92, 8 Ti 3.26

**Calculated formation energy**: 303 meV per atom
**Total moment**: 0.0 μB per cell
**D(E_F)**: 1.05 states/eV/atom
**Distance to the lowest polymorph of the same formula**: 0.225 eV per atom

DFT (GGA-PBE) results for a geometry-optimized TaTi2Cd structure.

Unit cell a=3.2896 b=3.2896 c=6.7878 alpha=90.00 beta=90.00 gamma=90.00
Last column: nearest neighbours and their distance in Å.
Space group P4/mmm (No. 123)
Unique sites:
Ta 0.0000 0.0000 0.0000 [1 per cell]  8 Ti 2.78
Ti 0.5000 0.5000 0.2254 [2 per cell]  4 Ta 2.78, 4 Cd 2.98, 1 Ti 3.06
Cd 0.0000 0.0000 0.5000 [1 per cell]  8 Ti 2.98, 4 Cd 3.29

**Calculated formation energy**: 3 meV per atom
**Total moment**: 0.0 μB per cell
**D(E_F)**: 1.30 states/eV/atom

DFT (GGA-PBE) results for a geometry-optimized TaTi2Cd2 structure.

Unit cell a=7.7523 b=7.7523 c=3.1600 alpha=90.00 beta=90.00 gamma=90.00
Last column: nearest neighbours and their distance in Å.
Space group P4/mbm (No. 127)
Unique sites:
Ta 0.0000 0.0000 0.0000 [2 per cell]  4 Cd 3.06, 2 Ta 3.16, 8 Ti 3.26
Ti 0.1781 0.3219 0.5000 [4 per cell]  6 Cd 2.68-2.86
Cd 0.1250 0.6250 0.0000 [4 per cell]  6 Ti 2.68-2.86, 1 Cd 2.74

**Calculated formation energy**: 377 meV per atom
**Total moment**: 0.0 μB per cell
**D(E_F)**: 1.79 states/eV/atom

DFT (GGA-PBE) results for a geometry-optimized TaTi2Cd structure.

Unit cell a=4.2516 b=4.2516 c=3.9702 alpha=90.00 beta=90.00 gamma=90.00
Last column: nearest neighbours and their distance in Å.
Space group P4/mmm (No. 123)
Unique sites:
Ta 0.0000 0.0000 0.0000 [1 per cell]  8 Ti 2.91, 4 Cd 3.01
Ti 0.0000 0.5000 0.5000 [2 per cell]  4 Cd 2.91, 4 Ta 2.91, 4 Ti 3.01
Cd 0.5000 0.5000 0.0000 [1 per cell]  8 Ti 2.91, 4 Ta 3.01

**Calculated formation energy**: 109 meV per atom
**Total moment**: 0.0 μB per cell
**D(E_F)**: 0.92 states/eV/atom

DFT (GGA-PBE) results for a geometry-optimized TaTi2Cd structure.

Unit cell a=3.9927 b=3.9927 c=19.4986 alpha=90.00 beta=90.00 gamma=90.00
Last column: nearest neighbours and their distance in Å.
Space group I-42d (No. 122)
Unique sites:
Ta 0.0000 0.0000 0.0000 [4 per cell]  4 Ti 2.80, 4 Cd 2.82
Ti 0.2357 0.2500 0.1250 [8 per cell]  4 Ti 2.74-2.90, 2 Ta 2.80, 2 Cd 2.84
Cd 0.0000 0.0000 0.5000 [4 per cell]  4 Ta 2.82, 4 Ti 2.84

**Calculated formation energy**: 636 meV per atom
**Total moment**: 0.0 μB per cell
**D(E_F)**: 1.75 states/eV/atom

DFT (GGA-PBE) results for a geometry-optimized Ta2TiCd structure.

Unit cell a=3.9595 b=3.9595 c=20.1847 alpha=90.00 beta=90.00 gamma=90.00
Last column: nearest neighbours and their distance in Å.
Space group I-42d (No. 122)
Unique sites:
Ta 0.2405 0.2500 0.1250 [8 per cell]  4 Ta 2.75-2.85, 2 Ti 2.87, 2 Cd 2.90
Ti 0.0000 0.0000 0.0000 [4 per cell]  4 Cd 2.80, 4 Ta 2.87
Cd 0.0000 0.0000 0.5000 [4 per cell]  4 Ti 2.80, 4 Ta 2.90

**Calculated formation energy**: 616 meV per atom
**Total moment**: 0.0 μB per cell
**D(E_F)**: 0.55 states/eV/atom

DFT (GGA-PBE) results for a geometry-optimized Ta2Ti2Cd structure.

Unit cell a=7.2547 b=7.2547 c=3.5162 alpha=90.00 beta=90.00 gamma=90.00
Last column: nearest neighbours and their distance in Å.
Space group P4/mbm (No. 127)
Unique sites:
Ta 0.1652 0.3348 0.0000 [4 per cell]  6 Ti 2.74-2.78
Ti 0.1299 0.6299 0.5000 [4 per cell]  1 Ti 2.67, 6 Ta 2.74-2.78, 2 Cd 2.85
Cd 0.0000 0.0000 0.5000 [2 per cell]  4 Ti 2.85

**Calculated formation energy**: 282 meV per atom
**Total moment**: 0.0 μB per cell
**D(E_F)**: 1.30 states/eV/atom
**Distance to the lowest polymorph of the same formula**: 0.204 eV per atom

DFT (GGA-PBE) results for a geometry-optimized Ta2Ti2Cd structure.

Unit cell a=13.7331 b=4.6972 c=2.8667 alpha=90.00 beta=95.19 gamma=90.00
Last column: nearest neighbours and their distance in Å.
Space group C2/m (No. 12)
Unique sites:
Ta 0.2103 0.0000 0.3314 [4 per cell]  4 Ta 2.73-2.87, 3 Ti 2.74-2.89, 1 Cd 2.97
Ti 0.1060 0.5000 0.9723 [4 per cell]  3 Ta 2.74-2.89, 3 Ti 2.87-2.93, 2 Cd 3.02
Cd 0.0000 0.0000 0.5000 [2 per cell]  2 Cd 2.87, 2 Ta 2.97, 4 Ti 3.02

**Calculated formation energy**: 78 meV per atom
**Total moment**: 0.9 μB per cell
**D(E_F)**: 1.25 states/eV/atom
**Distance to the lowest polymorph of the same formula**: 0.000 eV per atom